Below is an optimized crystal structure of Cu4SnS4, with properties calculated at the PBEsol level.

## Properties
Fermi-level density of states   0.048 states/eV per atom
Formation energy (no corrections)   -230 kJ/mol of formula units

a b c (Å): 6.390 7.525 13.253
angles (deg): 90.00 90.00 90.00
Fractional positions:
1 Cu 0.061 0.750 0.176
2 Cu 0.387 0.515 0.834
3 Cu 0.561 0.250 0.324
4 Cu 0.398 0.750 0.080
5 Cu 0.887 0.485 0.666
6 Cu 0.939 0.250 0.824
7 Cu 0.387 0.985 0.834
8 Cu 0.113 0.515 0.334
9 Cu 0.113 0.985 0.334
10 Cu 0.613 0.485 0.166
11 Cu 0.887 0.015 0.666
12 Cu 0.439 0.750 0.676
13 Cu 0.613 0.015 0.166
14 Cu 0.898 0.250 0.420
15 Cu 0.602 0.250 0.920
16 Cu 0.102 0.750 0.580
17 Sn 0.109 0.250 0.078
18 Sn 0.891 0.750 0.922
19 Sn 0.391 0.250 0.578
20 Sn 0.609 0.750 0.422
21 S 0.748 0.750 0.596
22 S 0.757 0.498 0.324
23 S 0.743 0.002 0.824
24 S 0.722 0.250 0.078
25 S 0.278 0.750 0.922
26 S 0.752 0.750 0.096
27 S 0.257 0.502 0.176
28 S 0.743 0.498 0.824
29 S 0.248 0.250 0.904
30 S 0.252 0.250 0.404
31 S 0.257 0.998 0.176
32 S 0.222 0.750 0.422
33 S 0.243 0.502 0.676
34 S 0.757 0.002 0.324
35 S 0.243 0.998 0.676
36 S 0.778 0.250 0.578